SrMgFe4 | Alexandria | PBE | optimized geometry; SG = F-43m; energy of formation from the pure elements = 0.34 eV per atom
1.0
0.000 3.675 3.675
3.675 0.000 3.675
3.675 3.675 0.000
Sr Mg Fe
1 1 4
Direct
0.000 0.000 0.000
0.250 0.250 0.250
0.128 0.624 0.624
0.624 0.128 0.624
0.624 0.624 0.128
0.624 0.624 0.624


CsBa2MgPt | Alexandria | PBE | optimized geometry; SG = P4/mmm; energy of formation from the pure elements = -0.26 eV per atom
1.0
6.354 0.000 0.000
0.000 6.354 0.000
0.000 0.000 5.435
Cs Ba Mg Pt
1 2 1 1
Direct
0.000 0.000 0.000
0.000 0.500 0.500
0.500 0.000 0.500
0.500 0.500 0.000
0.500 0.500 0.500


Sm8Sc | Alexandria | PBE | optimized geometry; SG = I4/mmm; energy of formation from the pure elements = 0.03 eV per atom
1.0
-5.386 5.386 2.533
5.386 -5.386 2.533
5.386 5.386 -2.533
Sm Sc
8 1
Direct
0.000 0.331 0.331
0.000 0.669 0.669
0.331 0.000 0.331
0.336 0.336 0.672
0.336 0.664 0.000
0.664 0.336 0.000
0.664 0.664 0.328
0.669 0.000 0.669
0.000 0.000 0.000


SiTe2RhN | Alexandria | PBE | optimized geometry; SG = P4/mmm; ΔE_f (raw) = 0.567 eV per atom
1.0
5.471 0.000 0.000
0.000 5.471 0.000
0.000 0.000 3.646
Si Te Rh N
1 2 1 1
Direct
0.000 0.000 0.000
0.000 0.500 0.500
0.500 0.000 0.500
0.500 0.500 0.500
0.500 0.500 0.000


CrTc2Ni | Alexandria | PBE | optimized geometry; SG = I4/mmm; energy of formation from the pure elements = 0.07 eV per atom
1.0
-1.896 1.896 3.601
1.896 -1.896 3.601
1.896 1.896 -3.601
Cr Tc Ni
1 2 1
Direct
0.000 0.000 0.000
0.250 0.750 0.500
0.750 0.250 0.500
0.500 0.500 0.000


NaSi4O8 | Alexandria | PBE | optimized geometry; SG = P6/mmm; ΔE_f (raw) = -2.434 eV per atom
1.0
5.350 0.000 0.000
-2.675 4.633 0.000
0.000 0.000 8.175
Na Si O
1 4 8
Direct
0.000 0.000 0.000
0.333 0.667 0.201
0.333 0.667 0.799
0.667 0.333 0.201
0.667 0.333 0.799
0.000 0.500 0.268
0.000 0.500 0.732
0.333 0.667 0.000
0.500 0.000 0.268
0.500 0.000 0.732
0.500 0.500 0.268
0.500 0.500 0.732
0.667 0.333 0.000


no.,D(E_F) (states/eV/atom)
1,1.479
2,0.769
3,1.518
4,0.764
5,0.902
6,0.150